Run w
## Ho2InS (PBE)

Data for a relaxed structure of Ho2InS.

```
Ho2InS
1.0
3.759 0.000 0.000
1.879 3.255 0.000
1.879 1.085 8.119
In Ho S
1 2 1
Direct
0.500 0.500 0.501
0.066 0.066 0.802
0.267 0.267 0.199
0.667 0.667 0.998
```

Mass density: 7.97 g/cm3

***

Run x
## Ho2InS (PBE)

Data for a relaxed structure of Ho2InS.

```
Ho2InS
1.0
-0.603 -0.212 -3.730
-3.491 -0.628 -1.320
-2.688 7.556 -1.914
Ho S In
2 1 1
Direct
0.734 0.734 0.797
0.266 0.266 0.203
0.000 0.000 0.000
0.500 0.500 0.500
```

Mass density: 8.03 g/cm3

***

Tell me which of them is the least stable. Sure, it is run w.

***

Run w
## HoIn2S4 (PBE)

Data for a relaxed structure of HoIn2S4.

```
HoIn2S4
1.0
4.141 -0.024 -0.003
-2.035 6.078 -1.638
0.006 0.139 7.254
In Ho S
2 1 4
Direct
0.632 0.263 0.565
0.368 0.737 0.435
0.000 0.000 0.000
0.146 0.291 0.357
0.614 0.228 0.898
0.854 0.709 0.643
0.386 0.772 0.102
```

Mass density: 4.74 g/cm3

***

Run x
## HoIn2S4 (PBE)

Data for a relaxed structure of HoIn2S4.

```
HoIn2S4
1.0
-1.572 3.073 1.607
-4.695 -2.718 -3.904
-4.017 -7.205 9.848
In Ho S
4 2 8
Direct
0.869 0.739 0.932
0.869 0.739 0.568
0.131 0.261 0.068
0.131 0.261 0.432
0.617 0.234 0.750
0.383 0.766 0.250
0.781 0.563 0.378
0.219 0.437 0.878
0.036 0.071 0.250
0.500 0.000 0.500
0.219 0.437 0.622
0.500 0.000 0.000
0.964 0.929 0.750
0.781 0.563 0.122
```

Mass density: 5.54 g/cm3

***

Tell me which of them is the least stable. Sure, it is run w.

***

Run w
## HoInS3 (PBE)

Data for a relaxed structure of HoInS3.

```
HoInS3
1.0
4.063 0.000 0.000
0.000 6.596 -1.559
0.000 0.183 10.500
Ho In S
2 2 6
Direct
0.250 0.013 0.334
0.750 0.987 0.666
0.750 0.528 0.192
0.250 0.472 0.808
0.250 0.208 0.586
0.750 0.190 0.233
0.750 0.792 0.414
0.750 0.315 0.885
0.250 0.685 0.115
0.250 0.810 0.767
```

Mass density: 4.42 g/cm3

***

Run x
## HoInS3 (PBE)

Data for a relaxed structure of HoInS3.

```
HoInS3
1.0
6.775 0.000 0.001
3.387 5.867 0.001
3.389 1.956 6.033
Ho S In
2 6 2
Direct
0.649 0.649 0.053
0.351 0.351 0.947
0.759 0.445 0.745
0.051 0.759 0.745
0.445 0.051 0.745
0.555 0.949 0.255
0.949 0.241 0.255
0.241 0.555 0.255
0.149 0.149 0.553
0.851 0.851 0.447
```

Mass density: 5.21 g/cm3

***

Tell me which of them is the least stable. Sure, it is run x.

***

Run w
## HoInSb2 (PBE)

Data for a relaxed structure of HoInSb2.

```
HoInSb2
1.0
-3.154 0.046 2.587
3.164 -0.931 3.873
0.634 5.001 0.684
In Ho Sb
1 1 2
Direct
0.500 0.500 0.500
0.500 0.000 0.000
0.000 0.000 0.500
0.000 0.500 0.000
```

Mass density: 8.23 g/cm3

***

Run x
## HoInSb2 (PBE)

Data for a relaxed structure of HoInSb2.

```
HoInSb2
1.0
4.510 0.000 0.000
2.255 3.906 0.000
2.255 1.302 6.965
Sb Ho In
2 1 1
Direct
0.256 0.256 0.233
0.081 0.081 0.757
0.666 0.666 0.003
0.498 0.498 0.507
```

Mass density: 7.08 g/cm3

***

Run y
## HoInSb2 (PBE)

Data for a relaxed structure of HoInSb2.

```
HoInSb2
1.0
-3.423 1.127 2.372
0.152 -0.329 4.299
1.488 7.174 2.661
In Sb Ho
1 2 1
Direct
0.000 0.000 0.000
0.251 0.251 0.247
0.749 0.749 0.753
0.500 0.500 0.500
```

Mass density: 7.30 g/cm3

***

Tell me which of them is the least stable. Sure, it is run x.